{"formula": "Gd3Sn2Pb5", "functional": "PBE-GGA", "state": "optimized geometry", "sg": "Cmmm (65)", "vol_a3_per_atom": 28.29, "e_above_lowest_polymorph_mev_per_atom": 9.1, "lattice": [[2.3579, -12.8830, 0.0000], [2.3579, 12.8830, 0.0000], [0.0000, 0.0000, 4.6559]], "species": ["Gd", "Gd", "Gd", "Sn", "Sn", "Pb", "Pb", "Pb", "Pb", "Pb"], "fractional_positions": [[0.0000, 0.0000, 0.0000], [0.1874, 0.8126, 0.0000], [0.8126, 0.1874, 0.0000], [0.0975, 0.9025, 0.5000], [0.9025, 0.0975, 0.5000], [0.2936, 0.7064, 0.5000], [0.4031, 0.5969, 0.0000], [0.5000, 0.5000, 0.5000], [0.5969, 0.4031, 0.0000], [0.7064, 0.2936, 0.5000]]}

{"formula": "Rb2HfS4", "functional": "PBE-GGA", "state": "optimized geometry", "sg": "Pbca (61)", "vol_a3_per_atom": 28.48, "dft_energy_ev_per_atom": -5.352, "lattice": [[6.7317, 0.0000, 0.0000], [0.0000, 24.1034, 0.0000], [0.0000, 0.0000, 9.8296]], "species": ["Rb", "Rb", "Rb", "Rb", "Rb", "Rb", "Rb", "Rb", "Rb", "Rb", "Rb", "Rb", "Rb", "Rb", "Rb", "Rb", "Hf", "Hf", "Hf", "Hf", "Hf", "Hf", "Hf", "Hf", "S", "S", "S", "S", "S", "S", "S", "S", "S", "S", "S", "S", "S", "S", "S", "S", "S", "S", "S", "S", "S", "S", "S", "S", "S", "S", "S", "S", "S", "S", "S", "S"], "fractional_positions": [[0.0473, 0.1992, 0.0721], [0.0473, 0.3008, 0.5721], [0.1936, 0.5340, 0.3594], [0.1936, 0.9660, 0.8594], [0.3064, 0.0340, 0.3594], [0.3064, 0.4660, 0.8594], [0.4527, 0.6992, 0.0721], [0.4527, 0.8008, 0.5721], [0.5473, 0.1992, 0.4279], [0.5473, 0.3008, 0.9279], [0.6936, 0.5340, 0.1406], [0.6936, 0.9660, 0.6406], [0.8064, 0.0340, 0.1406], [0.8064, 0.4660, 0.6406], [0.9527, 0.6992, 0.4279], [0.9527, 0.8008, 0.9279], [0.0342, 0.1302, 0.6732], [0.0342, 0.3698, 0.1732], [0.4658, 0.6302, 0.6732], [0.4658, 0.8698, 0.1732], [0.5342, 0.1302, 0.8268], [0.5342, 0.3698, 0.3268], [0.9658, 0.6302, 0.8268], [0.9658, 0.8698, 0.3268], [0.0527, 0.1592, 0.4209], [0.0527, 0.3408, 0.9209], [0.1279, 0.5889, 0.0415], [0.1279, 0.9111, 0.5415], [0.1563, 0.5678, 0.6719], [0.1563, 0.9322, 0.1719], [0.2305, 0.7006, 0.7685], [0.2305, 0.7994, 0.2685], [0.2695, 0.2006, 0.7685], [0.2695, 0.2994, 0.2685], [0.3437, 0.0678, 0.6719], [0.3437, 0.4322, 0.1719], [0.3721, 0.0889, 0.0415], [0.3721, 0.4111, 0.5415], [0.4473, 0.6592, 0.4209], [0.4473, 0.8408, 0.9209], [0.5527, 0.1592, 0.0791], [0.5527, 0.3408, 0.5791], [0.6279, 0.5889, 0.4585], [0.6279, 0.9111, 0.9585], [0.6563, 0.5678, 0.8281], [0.6563, 0.9322, 0.3281], [0.7305, 0.7006, 0.7315], [0.7305, 0.7994, 0.2315], [0.7695, 0.2006, 0.7315], [0.7695, 0.2994, 0.2315], [0.8437, 0.0678, 0.8281], [0.8437, 0.4322, 0.3281], [0.8721, 0.0889, 0.4585], [0.8721, 0.4111, 0.9585], [0.9473, 0.6592, 0.0791], [0.9473, 0.8408, 0.5791]]}

{"formula": "Gd3Mg3Ga2Hg", "functional": "PBE-GGA", "state": "optimized geometry", "sg": "P-62m (189)", "vol_a3_per_atom": 23.55, "dft_energy_ev_per_atom": -3.271, "lattice": [[7.3954, 0.0000, 0.0000], [-3.6977, 6.4046, 0.0000], [0.0000, 0.0000, 4.4756]], "species": ["Gd", "Gd", "Gd", "Mg", "Mg", "Mg", "Ga", "Ga", "Hg"], "fractional_positions": [[0.0000, 0.4262, 0.0000], [0.4262, 0.0000, 0.0000], [0.5738, 0.5738, 0.0000], [0.0000, 0.7519, 0.5000], [0.2481, 0.2481, 0.5000], [0.7519, 0.0000, 0.5000], [0.3333, 0.6667, 0.5000], [0.6667, 0.3333, 0.5000], [0.0000, 0.0000, 0.0000]]}

{"formula": "PmAlB", "functional": "PBE-GGA", "state": "optimized geometry", "sg": "F-43m (216)", "vol_a3_per_atom": 22.34, "e_above_lowest_polymorph_mev_per_atom": 995.4, "lattice": [[0.0000, 3.2241, 3.2241], [3.2241, 0.0000, 3.2241], [3.2241, 3.2241, 0.0000]], "species": ["Pm", "Al", "B"], "fractional_positions": [[0.0000, 0.0000, 0.0000], [0.7500, 0.7500, 0.7500], [0.2500, 0.2500, 0.2500]]}

{"formula": "YErBr2N", "functional": "PBE-GGA", "state": "optimized geometry", "sg": "P3m1 (156)", "vol_a3_per_atom": 23.88, "dft_energy_ev_per_atom": -6.268, "lattice": [[3.6418, 0.0000, 0.0000], [-1.8209, 3.1539, 0.0000], [0.0000, 0.0000, 10.3969]], "species": ["Y", "Er", "Br", "Br", "N"], "fractional_positions": [[0.0000, 0.0000, 0.0000], [0.6667, 0.3333, 0.7535], [0.0000, 0.0000, 0.5678], [0.6667, 0.3333, 0.1884], [0.3333, 0.6667, 0.8717]]}

{"formula": "YBeNiBi", "functional": "PBE-GGA", "state": "optimized geometry", "sg": "F-43m (216)", "vol_a3_per_atom": 18.93, "dft_energy_ev_per_atom": -4.944, "lattice": [[0.0000, 3.3579, 3.3579], [3.3579, 0.0000, 3.3579], [3.3579, 3.3579, 0.0000]], "species": ["Y", "Be", "Ni", "Bi"], "fractional_positions": [[0.0000, 0.0000, 0.0000], [0.2500, 0.2500, 0.2500], [0.7500, 0.7500, 0.7500], [0.5000, 0.5000, 0.5000]]}